# BaPrTe2

An optimized crystal structure of BaPrTe2 (PBE, Alexandria via LeMat-Bulk).

a = 8.384 Å, b = 8.384 Å, c = 8.384 Å
α = 32.43°, β = 32.43°, γ = 32.43°
Positions (direct):
Ba 0.000 0.000 0.000
Pr 0.500 0.500 0.500
Te 0.242 0.242 0.242
Te 0.758 0.758 0.758

Output
total magnetic moment: 0.00 μB/f.u.
calculated total energy: -4.8365 eV per atom
ΔE_f (raw): -153.4 kJ/mol of atoms
offset from the most stable computed form: 0.0 meV/atom